Below is an optimized crystal structure of ScBTe2, with properties calculated at the PBE level.

As for the space group: No. 166. As for the formation energy without anion corrections: 0.513 eV per atom. The calculation puts the density of states at the Fermi level at 3.28 states/eV/cell. The value obtained for the total energy is -4.311 eV per atom.

abc: 8.8768 8.8768 8.8768
angles: 23.00 23.00 23.00
Sites, in units of the cell vectors:
B: 0.5000 0.5000 0.5000
Te: 0.1104 0.1104 0.1104
Te: 0.8896 0.8896 0.8896
Sc: 0.0000 0.0000 0.0000